[1]
Material: BeVGaSe2
Method: DFT, PBE-GGA
State: optimized geometry

Cell: 4.5219 4.5219 4.5035 Å, 90.00 90.00 90.00°
With the nearest neighbours (Å) after each atom.
Atoms (fractional coordinates):
Be1 0.0000 0.0000 0.0000  2 V 2.25, 4 Se 2.26
V1 0.0000 0.0000 0.5000  2 Be 2.25
Ga1 0.5000 0.5000 0.5000  8 Se 3.19, 4 V 3.20
Se1 0.0000 0.5000 0.0000  2 Be 2.26
Se2 0.5000 0.0000 0.0000  2 Be 2.26

Properties
Total moment, μB/atom: 0.013
D(E_F), states/eV/f.u.: 6.3
Raw formation energy, meV per atom: 595
SG: P4/mmm (123)

[2]
Material: Tb2Sm4DyY2
Method: DFT, PBE-GGA
State: optimized geometry

Cell: 8.8143 8.8143 9.7112 Å, 100.09 100.09 23.61°
With the nearest neighbours (Å) after each atom.
Atoms (fractional coordinates):
Tb1 0.1643 0.1643 0.4184  4 Sm 3.38-3.55, 2 Dy 3.57, 4 Tb 3.58-3.61, 2 Y 3.68
Tb2 0.8357 0.8357 0.5816  4 Sm 3.38-3.55, 2 Dy 3.57, 4 Tb 3.58-3.61, 2 Y 3.68
Sm1 0.0143 0.0143 0.8260  5 Sm 3.50-3.61, 1 Tb 3.54, 2 Dy 3.61, 4 Y 3.67-3.69
Sm2 0.3244 0.3244 0.2632  3 Tb 3.38-3.55, 1 Dy 3.46, 3 Y 3.47-3.57, 4 Sm 3.55-3.61
Sm3 0.6756 0.6756 0.7368  3 Tb 3.38-3.55, 1 Dy 3.46, 3 Y 3.47-3.57, 4 Sm 3.55-3.61
Sm4 0.9857 0.9857 0.1740  5 Sm 3.50-3.61, 1 Tb 3.54, 2 Dy 3.61, 4 Y 3.67-3.69
Dy1 0.5000 0.5000 0.5000  6 Sm 3.46-3.61, 4 Tb 3.57, 2 Dy 3.61
Y1 0.3427 0.3427 0.9135  7 Sm 3.47-3.69, 2 Y 3.61, 2 Tb 3.68
Y2 0.6573 0.6573 0.0865  7 Sm 3.47-3.69, 2 Y 3.61, 2 Tb 3.68

Properties
Total moment, μB/atom: 0.000
DFT formation energy, eV/atom: 0.029
D(E_F), states/eV/f.u.: 12.6
SG: C2/m (12)

[3]
Material: La2ErZn4
Method: DFT, PBE-GGA
State: optimized geometry

Cell: 8.9788 8.9788 8.9788 Å, 32.84 32.84 32.84°
With the nearest neighbours (Å) after each atom.
Atoms (fractional coordinates):
La1 0.2455 0.2455 0.2455  8 Zn 3.07-3.20
La2 0.7545 0.7545 0.7545  8 Zn 3.07-3.20
Er1 0.0000 0.0000 0.0000  8 Zn 3.08-3.14
Zn1 0.1232 0.1232 0.1232  4 La 3.07-3.11, 1 Er 3.14
Zn2 0.3706 0.3706 0.3706  3 Er 3.08, 4 La 3.19-3.20
Zn3 0.6294 0.6294 0.6294  3 Er 3.08, 4 La 3.19-3.20
Zn4 0.8768 0.8768 0.8768  4 La 3.07-3.11, 1 Er 3.14

Properties
Total moment, μB/atom: 0.000
DFT formation energy, eV/atom: -0.105
D(E_F), states/eV/f.u.: 6.1
SG: R-3m (166)

[4]
Material: Ir2C
Method: DFT, PBE-GGA
State: optimized geometry

Cell: 5.4829 5.4829 5.3087 Å, 96.94 96.94 28.70°
With the nearest neighbours (Å) after each atom.
Atoms (fractional coordinates):
Ir1 0.1012 0.1012 0.1656  4 C 2.22-2.26
Ir2 0.1749 0.1749 0.6644  2 C 2.06
Ir3 0.8251 0.8251 0.3356  2 C 2.06
Ir4 0.8988 0.8988 0.8344  4 C 2.22-2.26
C1 0.4372 0.4372 0.1764  6 Ir 2.06-2.26
C2 0.5628 0.5628 0.8236  6 Ir 2.06-2.26

Properties
Total moment, μB/atom: 0.000
DFT formation energy, eV/atom: 0.790
D(E_F), states/eV/f.u.: 1.7
SG: C2/m (12)

[5]
Material: BeBSb2
Method: DFT, PBE-GGA
State: optimized geometry

Cell: 6.6103 6.6103 6.6103 Å, 130.65 130.65 72.37°
With the nearest neighbours (Å) after each atom.
Atoms (fractional coordinates):
Be1 0.0000 0.0000 0.0000  4 Sb 2.43
Be2 0.7500 0.2500 0.5000  4 Sb 2.43
B1 0.2500 0.7500 0.5000  4 Sb 2.30
B2 0.5000 0.5000 0.0000  4 Sb 2.30
Sb1 0.1446 0.6250 0.0196  2 B 2.30, 2 Be 2.43
Sb2 0.3750 0.3946 0.5196  2 B 2.30, 2 Be 2.43
Sb3 0.6054 0.1250 0.9804  2 B 2.30, 2 Be 2.43
Sb4 0.8750 0.8554 0.4804  2 B 2.30, 2 Be 2.43

Properties
Total moment, μB/atom: 0.000
D(E_F), states/eV/f.u.: 2.1
Raw formation energy, meV per atom: 350
SG: I-42d (122)

[6]
Material: LiBeHPd2
Method: DFT, PBE-GGA
State: optimized geometry

Cell: 3.9232 3.9232 3.3799 Å, 90.00 90.00 90.00°
With the nearest neighbours (Å) after each atom.
Atoms (fractional coordinates):
Li1 0.0000 0.0000 0.0000  2 H 1.69
Be1 0.5000 0.5000 0.0000  8 Pd 2.59, 4 Li 2.77
H1 0.0000 0.0000 0.5000  2 Li 1.69
Pd1 0.0000 0.5000 0.5000  2 H 1.96
Pd2 0.5000 0.0000 0.5000  2 H 1.96

Properties
Total moment, μB/atom: 0.000
D(E_F), states/eV/f.u.: 0.9
Uncorrected energy, eV/cell: -21.25
SG: P4/mmm (123)

[7]
Material: ZrTaPb
Method: DFT, PBE-GGA
State: optimized geometry

Cell: 3.3191 3.3191 7.1683 Å, 90.00 90.00 120.00°
With the nearest neighbours (Å) after each atom.
Atoms (fractional coordinates):
Zr1 0.0000 0.0000 0.0000  3 Ta 2.93, 3 Pb 3.20
Ta1 0.3333 0.6667 0.6902  3 Zr 2.93, 3 Pb 3.06
Pb1 0.6667 0.3333 0.3571  3 Ta 3.06, 3 Zr 3.20, 6 Pb 3.32

Properties
Total moment, μB/atom: 0.000
DFT formation energy, eV/atom: 0.294
D(E_F), states/eV/f.u.: 2.6
SG: P3m1 (156)

[8]
Material: YRh2Au2
Method: DFT, PBE-GGA
State: optimized geometry

Cell: 7.4496 7.4496 3.3626 Å, 90.00 90.00 90.00°
With the nearest neighbours (Å) after each atom.
Atoms (fractional coordinates):
Y1 0.0000 0.0000 0.0000  4 Au 2.90
Y2 0.5000 0.5000 0.0000  4 Au 2.90
Rh1 0.1634 0.3366 0.5000  6 Au 2.71-2.80
Rh2 0.3366 0.8366 0.5000  6 Au 2.71-2.80
Rh3 0.6634 0.1634 0.5000  6 Au 2.71-2.80
Rh4 0.8366 0.6634 0.5000  6 Au 2.71-2.80
Au1 0.1350 0.6350 0.0000  6 Rh 2.71-2.80, 1 Au 2.85, 2 Y 2.90
Au2 0.3650 0.1350 0.0000  6 Rh 2.71-2.80, 1 Au 2.85, 2 Y 2.90
Au3 0.6350 0.8650 0.0000  6 Rh 2.71-2.80, 1 Au 2.85, 2 Y 2.90
Au4 0.8650 0.3650 0.0000  6 Rh 2.71-2.80, 1 Au 2.85, 2 Y 2.90

Properties
Total moment, μB/atom: 0.000
DFT formation energy, eV/atom: -0.216
D(E_F), states/eV/f.u.: 5.3
SG: P4/mbm (127)